CaAcPb: relaxed, PBE-GGA.

Cell lengths 4.9408, 4.9408, 8.9636 Å; angles 90.00, 90.00, 90.00 degrees
Space group P4/nmm (No. 129, origin choice 2)
Unique sites:
Ca 0.2500 0.7500 0.0000 (multiplicity 2)
Ac 0.2500 0.2500 0.3592 (multiplicity 2)
Pb 0.2500 0.2500 0.7486 (multiplicity 2)

Values from the calculation:
V = 218.8 Å³ per cell
Fermi-level density of states = 0.82 states/eV/atom
ΔE to the lowest computed polymorph = 0.0000 eV/atom



Ca4Ac3Pb4: relaxed, PBE-GGA.

Cell lengths 4.7763, 9.4651, 17.5471 Å; angles 90.00, 90.00, 90.00 degrees
Space group Immm (No. 71)
Unique sites:
Ca 0.0000 0.1907 0.1730 (multiplicity 8)
Ac 0.0000 0.0000 0.3947 (multiplicity 4)
Ac 0.0000 0.5000 0.5000 (multiplicity 2)
Pb 0.0000 0.2833 0.0000 (multiplicity 4)
Pb 0.0000 0.5000 0.2597 (multiplicity 4)

Values from the calculation:
V = 793.3 Å³ per cell
Fermi-level density of states = 0.54 states/eV/atom
E = -3.69 eV/atom



Ca3Ac3Pb4: relaxed, PBE-GGA.

Cell lengths 4.9728, 12.0589, 11.9663 Å; angles 90.00, 90.00, 90.00 degrees
Space group Amm2 (No. 38)
Unique sites:
Ca 0.0000 0.0000 0.0000 (multiplicity 2)
Ca 0.5000 0.2493 0.0782 (multiplicity 4)
Ac 0.0000 0.0000 0.6586 (multiplicity 2)
Ac 0.0000 0.1735 0.3266 (multiplicity 4)
Pb 0.5000 0.0000 0.1934 (multiplicity 2)
Pb 0.5000 0.0000 0.4547 (multiplicity 2)
Pb 0.5000 0.1281 0.8321 (multiplicity 4)

Values from the calculation:
V = 717.6 Å³ per cell
Fermi-level density of states = 0.62 states/eV/atom
E = -3.86 eV/atom



CaAc3Pb12: relaxed, PBE-GGA.

Cell lengths 5.0198, 5.0198, 20.2374 Å; angles 90.00, 90.00, 90.00 degrees
Space group P4/mmm (No. 123)
Unique sites:
Ca 0.0000 0.0000 0.0000 (multiplicity 1)
Ac 0.0000 0.0000 0.2477 (multiplicity 2)
Ac 0.0000 0.0000 0.5000 (multiplicity 1)
Pb 0.0000 0.5000 0.1187 (multiplicity 4)
Pb 0.0000 0.5000 0.3736 (multiplicity 4)
Pb 0.5000 0.5000 0.0000 (multiplicity 1)
Pb 0.5000 0.5000 0.2466 (multiplicity 2)
Pb 0.5000 0.5000 0.5000 (multiplicity 1)

Values from the calculation:
V = 510.0 Å³ per cell
Fermi-level density of states = 0.47 states/eV/atom
E = -4.06 eV/atom



CaAcPb6: relaxed, PBE-GGA.

Cell lengths 5.0129, 5.0129, 9.9680 Å; angles 90.00, 90.00, 90.00 degrees
Space group P4/mmm (No. 123)
Unique sites:
Ca 0.0000 0.0000 0.0000 (multiplicity 1)
Ac 0.0000 0.0000 0.5000 (multiplicity 1)
Pb 0.0000 0.5000 0.2402 (multiplicity 4)
Pb 0.5000 0.5000 0.0000 (multiplicity 1)
Pb 0.5000 0.5000 0.5000 (multiplicity 1)

Values from the calculation:
V = 250.5 Å³ per cell
Fermi-level density of states = 0.55 states/eV/atom
E = -3.91 eV/atom



CaAcPb2: relaxed, PBE-GGA.

Cell lengths 5.3671, 5.3671, 4.6486 Å; angles 90.00, 90.00, 90.00 degrees
Space group P4/mmm (No. 123)
Unique sites:
Ca 0.0000 0.0000 0.0000 (multiplicity 1)
Ac 0.5000 0.5000 0.0000 (multiplicity 1)
Pb 0.0000 0.5000 0.5000 (multiplicity 2)

Values from the calculation:
V = 133.9 Å³ per cell
Fermi-level density of states = 0.61 states/eV/atom
E = -3.88 eV/atom